--- 1 ---
First-principles (PBE) data for crystalline TlMo3Se at its relaxed geometry, as listed in Alexandria via LeMat-Bulk.

Lattice parameters (Å, degrees): 4.6477 4.6477 4.6477 90.00 90.00 90.00
Closest atoms and distances in Å follow each position.
Space group Pm-3m (No. 221)
Symmetry-distinct sites (fractional):
1 Tl 0.0000 0.0000 0.0000  12 Mo 3.29
2 Mo 0.0000 0.5000 0.5000  2 Se 2.32
3 Se 0.5000 0.5000 0.5000  6 Mo 2.32

Density of states at the Fermi level, states/eV/cell: 4.8
V, Å³/cell: 100


--- 2 ---
First-principles (PBE) data for crystalline TlMo3Se at its relaxed geometry, as listed in Alexandria via LeMat-Bulk.

Lattice parameters (Å, degrees): 5.0116 5.0116 5.0116 90.00 90.00 90.00
Closest atoms and distances in Å follow each position.
Space group Pm-3m (No. 221)
Symmetry-distinct sites (fractional):
1 Tl 0.0000 0.0000 0.0000  6 Mo 2.51
2 Mo 0.0000 0.0000 0.5000  2 Tl 2.51
3 Se 0.5000 0.5000 0.5000  12 Mo 3.54

Density of states at the Fermi level, states/eV/cell: 9.1
V, Å³/cell: 126


Verdict on stability: 2 comes out at the bottom.


--- 1 ---
First-principles (PBE) data for crystalline VMoSe2 at its relaxed geometry, as listed in Alexandria via LeMat-Bulk.

Lattice parameters (Å, degrees): 5.7068 5.7068 11.3037 90.00 90.00 90.00
Closest atoms and distances in Å follow each position.
Space group I-42d (No. 122)
Symmetry-distinct sites (fractional):
1 V 0.0000 0.0000 0.0000  4 Se 2.45
2 Mo 0.0000 0.0000 0.5000  4 Se 2.47
3 Se 0.2467 0.2500 0.1250  2 V 2.45, 2 Mo 2.47

Density of states at the Fermi level, states/eV/cell: 12.8
V, Å³/cell: 368


--- 2 ---
First-principles (PBE) data for crystalline VMoSe2 at its relaxed geometry, as listed in Alexandria via LeMat-Bulk.

Lattice parameters (Å, degrees): 6.3226 6.3226 6.3226 90.00 90.00 90.00
Closest atoms and distances in Å follow each position.
Space group Fm-3m (No. 225)
Symmetry-distinct sites (fractional):
1 V 0.0000 0.0000 0.0000  8 Se 2.74
2 Mo 0.0000 0.0000 0.5000  8 Se 2.74
3 Se 0.2500 0.2500 0.2500  4 Mo 2.74, 4 V 2.74

Density of states at the Fermi level, states/eV/cell: 10.1
V, Å³/cell: 253


--- 3 ---
First-principles (PBE) data for crystalline VMoSe2 at its relaxed geometry, as listed in Alexandria via LeMat-Bulk.

Lattice parameters (Å, degrees): 3.0842 3.0842 25.2508 90.00 90.00 120.00
Closest atoms and distances in Å follow each position.
Space group R-3m (No. 166, hexagonal axes)
Symmetry-distinct sites (fractional):
1 V 0.0000 0.0000 0.0000  6 Se 2.46
2 Mo 0.0000 0.0000 0.5000  2 Se 2.51
3 Se 0.0000 0.0000 0.4008  3 V 2.46, 1 Mo 2.51

Density of states at the Fermi level, states/eV/cell: 12.4
V, Å³/cell: 208


Verdict on stability: 1 comes out at the bottom.